VASP calculation (PBE+U) on crystalline Tl2VBr2F2 at its relaxed geometry.

Lattice parameters (Å, degrees): 4.484 4.484 9.046 104.35 104.35 90.00
Site moments in Bohr magnetons follow the coordinates.
Fractional coordinates of all 7 atoms:
F 0.000 0.500 0.000  0.01
Tl 0.376 0.376 0.753  0.00
Br 0.839 0.839 0.679  -0.01
V 0.000 0.000 0.000  2.74
Br 0.161 0.161 0.321  -0.01
F 0.500 0.000 0.000  0.01
Tl 0.624 0.624 0.247  0.00

Calculated values
**SG**: I4/mmm, No. 139
**Theoretical density**: 6409 kg/m3
**E**: -4.282 eV/atom
**V**: 24.34 Å³/atom